1.
Below is BaMgMo2Rh at its PBEsol-relaxed geometry, with properties calculated at the SCAN level.

Cell: 4.708 4.926 4.926 Å, 90.00 90.00 90.00°
Atoms (fractional coordinates):
Rh 0.500 0.000 0.000
Ba 0.500 0.500 0.500
Mo 0.000 0.500 0.000
Mg 0.000 0.000 0.000
Mo 0.000 0.000 0.500

Values from the calculation:
The value obtained for the energy relative to the elements is 715 kJ/mol of formula units. For the electronic total energy, the calculation gives -28.1306 eV/atom.


2.
Below is Li2VSiO4 at its PBEsol-relaxed geometry, with properties calculated at the SCAN level.

Cell: 4.812 5.005 11.440 Å, 86.83 88.74 62.19°
Atoms (fractional coordinates):
Li 0.881 0.675 0.937
Li 0.531 0.361 0.062
O 0.345 0.805 0.639
Si 0.170 0.016 0.999
O 0.637 0.446 0.217
O 0.559 0.326 0.448
V 0.046 0.511 0.197
O 0.740 0.129 0.704
V 0.491 0.941 0.480
Li 0.710 0.406 0.583
V 0.577 0.503 0.804
O 0.107 0.741 0.057
O 0.905 0.668 0.562
O 0.433 0.885 0.895
Si 0.011 0.794 0.672
Li 0.122 0.548 0.425
O 0.127 0.185 0.349
O 0.302 0.143 0.102
Si 0.778 0.207 0.331
Li 0.345 0.122 0.751
O 0.838 0.290 0.947
O 0.114 0.549 0.786
O 0.800 0.870 0.317
Li 0.432 0.882 0.236

Values from the calculation:
For the electronic total energy, the calculation gives -9.6906 eV/atom. The calculation puts the raw formation energy at -20.3 eV per formula unit.


3.
Below is LiTi6O12 at its PBEsol-relaxed geometry, with properties calculated at the SCAN level.

Cell: 4.872 5.878 14.052 Å, 90.00 92.50 90.00°
Atoms (fractional coordinates):
O 0.686 0.382 0.404
Li 0.069 0.874 0.717
Ti 0.002 0.875 0.496
O 0.817 0.121 0.567
Ti 0.002 0.125 0.996
Li 0.069 0.126 0.217
O 0.817 0.879 0.067
Ti 0.999 0.375 0.501
Ti 0.455 0.625 0.339
O 0.694 0.625 0.226
O 0.185 0.125 0.433
Ti 0.529 0.129 0.655
O 0.701 0.125 0.229
O 0.686 0.132 0.904
Ti 0.528 0.621 0.654
O 0.694 0.375 0.726
O 0.299 0.875 0.601
Ti 0.455 0.375 0.839
O 0.185 0.875 0.933
O 0.821 0.628 0.568
Ti 0.499 0.874 0.851
O 0.821 0.372 0.068
O 0.297 0.368 0.272
O 0.686 0.868 0.404
O 0.182 0.624 0.434
O 0.182 0.376 0.934
O 0.297 0.118 0.772
O 0.297 0.632 0.772
O 0.701 0.875 0.729
Ti 0.529 0.871 0.155
O 0.314 0.374 0.595
Ti 0.499 0.126 0.351
O 0.299 0.125 0.101
O 0.314 0.626 0.095
Ti 0.528 0.379 0.154
O 0.686 0.618 0.904
Ti 0.999 0.625 0.001
O 0.297 0.882 0.272

Values from the calculation:
For the electronic total energy, the calculation gives -12.3478 eV/atom. Its offset from the most stable computed form is 0.000 eV/atom. The calculation puts the raw formation energy at -61.3 eV per formula unit.


4.
Below is TcOsRh at its PBEsol-relaxed geometry, with properties calculated at the SCAN level.

Cell: 4.101 4.101 4.101 Å, 60.00 60.00 60.00°
Atoms (fractional coordinates):
Tc 0.250 0.250 0.250
Rh 0.500 0.500 0.500
Os 0.000 0.000 0.000

Values from the calculation:
The value obtained for the energy relative to the elements is 140 kJ/mol of formula units. For the electronic total energy, the calculation gives -46.4215 eV/atom.


5.
Below is FeSi at its PBEsol-relaxed geometry, with properties calculated at the SCAN level.

Cell: 2.669 3.952 4.380 Å, 106.29 107.74 90.00°
Atoms (fractional coordinates):
Si 0.122 0.307 0.244
Fe 0.620 0.802 0.241
Fe 0.380 0.198 0.759
Si 0.878 0.693 0.756

Values from the calculation:
For the electronic total energy, the calculation gives -14.3704 eV/atom. The calculation puts the raw formation energy at -0.6 eV per formula unit.


6.
Below is TbMn2O5 at its PBEsol-relaxed geometry, with properties calculated at the SCAN level.

Cell: 5.658 7.214 8.464 Å, 90.00 90.00 90.00°
Atoms (fractional coordinates):
O 0.272 0.000 0.000
O 0.272 0.500 0.500
O 0.000 0.835 0.555
O 0.245 0.896 0.293
O 0.755 0.604 0.793
Tb 0.000 0.863 0.828
O 0.755 0.396 0.207
O 0.245 0.604 0.793
O 0.000 0.165 0.445
Tb 0.000 0.137 0.172
Mn 0.500 0.588 0.650
O 0.500 0.345 0.935
O 0.245 0.104 0.707
Mn 0.254 0.000 0.500
O 0.728 0.500 0.500
O 0.000 0.665 0.055
Tb 0.000 0.637 0.328
Mn 0.500 0.088 0.850
O 0.755 0.896 0.293
O 0.728 0.000 0.000
O 0.000 0.335 0.945
Mn 0.746 0.000 0.500
O 0.500 0.155 0.435
O 0.500 0.655 0.065
O 0.245 0.396 0.207
Mn 0.254 0.500 0.000
Mn 0.500 0.912 0.150
Mn 0.500 0.412 0.350
Mn 0.746 0.500 0.000
O 0.755 0.104 0.707
Tb 0.000 0.363 0.672
O 0.500 0.845 0.565

Values from the calculation:
For the electronic total energy, the calculation gives -17.1199 eV/atom. The calculation puts the raw formation energy at -22.5 eV per formula unit.


7.
Below is CuSi2Pt at its PBEsol-relaxed geometry, with properties calculated at the SCAN level.

Cell: 3.944 4.445 3.944 Å, 63.66 90.00 116.34°
Atoms (fractional coordinates):
Pt 0.000 0.000 0.000
Si 0.750 0.500 0.750
Si 0.250 0.500 0.250
Cu 0.500 0.000 0.500

Values from the calculation:
For the electronic total energy, the calculation gives -26.3918 eV/atom. Its offset from the most stable computed form is 0.129 eV/atom. The calculation puts the raw formation energy at -0.1 eV per formula unit.


8.
Below is Al3Pb5F19 at its PBEsol-relaxed geometry, with properties calculated at the SCAN level.

Cell: 7.267 10.717 10.717 Å, 83.40 70.18 70.18°
Atoms (fractional coordinates):
F 0.423 0.630 0.179
F 0.424 0.500 0.652
F 0.745 0.011 0.500
F 0.000 0.000 0.000
F 0.267 0.179 0.630
F 0.923 0.179 0.630
Al 0.166 0.168 0.500
F 0.394 0.713 0.500
F 0.233 0.370 0.821
Al 0.666 0.500 0.168
F 0.077 0.821 0.370
Pb 0.729 0.702 0.841
F 0.245 0.500 0.011
F 0.339 0.000 0.821
F 0.553 0.370 0.179
F 0.076 0.348 0.500
Al 0.834 0.832 0.500
F 0.102 0.630 0.821
Al 0.250 0.000 0.000
Al 0.334 0.500 0.832
Pb 0.569 0.159 0.702
Pb 0.431 0.841 0.298
Al 0.750 0.000 0.000
F 0.661 0.179 0.000
F 0.255 0.989 0.500
F 0.894 0.500 0.713
F 0.576 0.500 0.348
F 0.053 0.179 0.370
Pb 0.069 0.702 0.159
F 0.733 0.821 0.370
Pb 0.750 0.500 0.500
F 0.398 0.179 0.370
F 0.755 0.500 0.989
F 0.839 0.000 0.821
F 0.161 0.179 0.000
F 0.106 0.500 0.287
F 0.898 0.370 0.179
Pb 0.229 0.841 0.702
Pb 0.250 0.500 0.500
Pb 0.271 0.298 0.159
F 0.500 0.000 0.000
F 0.661 0.000 0.179
F 0.767 0.630 0.179
Pb 0.771 0.159 0.298
F 0.839 0.821 0.000
F 0.447 0.630 0.821
F 0.924 0.652 0.500
F 0.602 0.821 0.630
F 0.339 0.821 0.000
F 0.606 0.287 0.500
Pb 0.931 0.298 0.841
F 0.577 0.370 0.821
F 0.161 0.000 0.179
F 0.947 0.821 0.630

Values from the calculation:
For the electronic total energy, the calculation gives -20.4384 eV/atom. Its offset from the most stable computed form is 0.022 eV/atom. The calculation puts the raw formation energy at -82.4 eV per formula unit.